[1]
Here is a geometry-optimized SnBi3Pd3 structure from Alexandria. Energies are from PBE.

a = 7.4030 Å, b = 13.0347 Å, c = 7.0946 Å
α = 90.00°, β = 100.16°, γ = 90.00°
Closest atoms and distances in Å follow each position.
Space group C2/m (No. 12)
Unique sites:
Sn 0.2039 0.0000 0.4730 (multiplicity 4)  4 Pd 2.66-2.79
Bi 0.0000 0.2563 0.5000 (multiplicity 4)  4 Pd 2.89-2.94
Bi 0.0000 0.3085 0.0000 (multiplicity 4)  6 Pd 2.83-3.12
Bi 0.1888 0.0000 0.9225 (multiplicity 4)  4 Pd 2.92-2.97, 1 Bi 3.18, 1 Sn 3.21
Pd 0.0130 0.5000 0.7396 (multiplicity 4)  2 Sn 2.70-2.79, 2 Pd 2.91, 2 Bi 2.92-2.96
Pd 0.2014 0.1558 0.2300 (multiplicity 8)  1 Sn 2.66, 4 Bi 2.83-2.97, 1 Pd 2.91

Excess energy over the best structure of this formula in the dataset: 0.26 eV per formula unit

---

[2]
Here is a geometry-optimized SnBi3Pd3 structure from Alexandria. Energies are from PBE.

a = 8.2808 Å, b = 8.2808 Å, c = 17.2287 Å
α = 90.00°, β = 90.00°, γ = 120.00°
Closest atoms and distances in Å follow each position.
Space group R-3 (No. 148, hexagonal axes)
Unique sites:
Sn 0.0000 0.0000 0.1631 (multiplicity 6)  6 Pd 2.76-2.81
Bi 0.0127 0.2665 0.6019 (multiplicity 18)  5 Pd 2.87-3.13
Pd 0.0079 0.4017 0.4329 (multiplicity 18)  2 Sn 2.76-2.81, 4 Bi 2.87-3.01, 1 Pd 2.87

Excess energy over the best structure of this formula in the dataset: 0.00 eV per formula unit

---

[3]
Here is a geometry-optimized Sn2BiPd8 structure from Alexandria. Energies are from PBE.

a = 4.1433 Å, b = 7.6026 Å, c = 12.4074 Å
α = 90.00°, β = 90.00°, γ = 90.00°
Closest atoms and distances in Å follow each position.
Space group Immm (No. 71)
Unique sites:
Sn 0.0000 0.0000 0.1784 (multiplicity 4)  10 Pd 2.70-2.92
Bi 0.0000 0.0000 0.5000 (multiplicity 2)  12 Pd 2.83-3.06
Pd 0.0000 0.2036 0.0000 (multiplicity 4)  2 Sn 2.70, 6 Pd 2.92-2.97
Pd 0.0000 0.2669 0.3348 (multiplicity 8)  3 Sn 2.73-2.81, 7 Pd 2.84-2.96, 1 Bi 2.88
Pd 0.0000 0.5000 0.1558 (multiplicity 4)  2 Bi 2.83, 8 Pd 2.84-2.97, 2 Sn 2.92

---

| no. | uncorrected energy (eV per atom) |
| --- | --- |
| 1 | -4.683 |
| 2 | -4.719 |
| 3 | -5.247 |